This record from Alexandria via LeMat-Bulk describes crystalline La2TiSnO at its relaxed geometry. The functional is PBE-GGA.

Cell lengths 5.2386, 5.2386, 4.1608 Å; angles 90.00, 90.00, 90.00 degrees
With the nearest neighbours (Å) after each atom.
Fractional positions:
La 0.0000 0.5000 0.0000  2 O 2.62
La 0.5000 0.0000 0.0000  2 O 2.62
Ti 0.0000 0.0000 0.5000  2 O 2.08
Sn 0.5000 0.5000 0.5000  8 La 3.34, 4 Ti 3.70
O 0.0000 0.0000 0.0000  2 Ti 2.08

Computed properties:
ΔE_f (raw)   -1368 meV/atom


This record from Alexandria via LeMat-Bulk describes crystalline La4Y2Sn3O2 at its relaxed geometry. The functional is PBE-GGA.

Cell lengths 13.3900, 13.3900, 13.3900 Å; angles 159.06, 159.06, 29.78 degrees
With the nearest neighbours (Å) after each atom.
Fractional positions:
La 0.0852 0.5852 0.5000  2 O 2.51
La 0.4148 0.9148 0.5000  2 O 2.51
La 0.5852 0.0852 0.5000  2 O 2.51
La 0.9148 0.4148 0.5000  2 O 2.51
Y 0.1970 0.1970 0.0000  1 O 2.28
Y 0.8030 0.8030 0.0000  1 O 2.28
Sn 0.3188 0.3188 0.0000  5 Y 3.15-3.47, 4 La 3.48
Sn 0.5000 0.5000 0.0000  8 La 3.28
Sn 0.6812 0.6812 0.0000  5 Y 3.15-3.47, 4 La 3.48
O 0.1088 0.1088 0.0000  1 Y 2.28, 4 La 2.51
O 0.8912 0.8912 0.0000  1 Y 2.28, 4 La 2.51

Computed properties:
ΔE_f (raw)   -1482 meV/atom


This record from Alexandria via LeMat-Bulk describes crystalline La2YSnO at its relaxed geometry. The functional is PBE-GGA.

Cell lengths 5.1121, 5.1121, 4.7613 Å; angles 90.00, 90.00, 90.00 degrees
With the nearest neighbours (Å) after each atom.
Fractional positions:
La 0.0000 0.5000 0.0000  2 O 2.56
La 0.5000 0.0000 0.0000  2 O 2.56
Y 0.0000 0.0000 0.5000  2 O 2.38
Sn 0.5000 0.5000 0.5000  8 La 3.49, 4 Y 3.61
O 0.0000 0.0000 0.0000  2 Y 2.38, 4 La 2.56

Computed properties:
ΔE_f (raw)   -1509 meV/atom


This record from Alexandria via LeMat-Bulk describes crystalline La2Y4Sn3O2 at its relaxed geometry. The functional is PBE-GGA.

Cell lengths 13.2893, 13.2893, 13.2893 Å; angles 159.55, 159.55, 29.08 degrees
With the nearest neighbours (Å) after each atom.
Fractional positions:
La 0.1940 0.1940 0.0000  1 O 2.61
La 0.8060 0.8060 0.0000  1 O 2.61
Y 0.0809 0.5809 0.5000  2 O 2.38
Y 0.4191 0.9191 0.5000  2 O 2.38
Y 0.5809 0.0809 0.5000  2 O 2.38
Y 0.9191 0.4191 0.5000  2 O 2.38
Sn 0.3280 0.3280 0.0000  4 Y 3.33, 5 La 3.38-3.45
Sn 0.5000 0.5000 0.0000  8 Y 3.15
Sn 0.6720 0.6720 0.0000  4 Y 3.33, 5 La 3.38-3.45
O 0.0927 0.0927 0.0000  4 Y 2.38, 1 La 2.61
O 0.9073 0.9073 0.0000  4 Y 2.38, 1 La 2.61

Computed properties:
ΔE_f (raw)   -1567 meV/atom


This record from Alexandria via LeMat-Bulk describes crystalline La2ZrSnO at its relaxed geometry. The functional is PBE-GGA.

Cell lengths 5.1810, 5.1810, 4.4345 Å; angles 90.00, 90.00, 90.00 degrees
With the nearest neighbours (Å) after each atom.
Fractional positions:
La 0.0000 0.5000 0.0000  2 O 2.59
La 0.5000 0.0000 0.0000  2 O 2.59
Zr 0.0000 0.0000 0.5000  2 O 2.22
Sn 0.5000 0.5000 0.5000  8 La 3.41, 4 Zr 3.66
O 0.0000 0.0000 0.0000  2 Zr 2.22

Computed properties:
ΔE_f (raw)   -1369 meV/atom


This record from Alexandria via LeMat-Bulk describes crystalline Sr3La4O9 at its relaxed geometry. The functional is PBE-GGA.

Cell lengths 6.9831, 6.9831, 13.5209 Å; angles 111.32, 111.32, 63.22 degrees
With the nearest neighbours (Å) after each atom.
Fractional positions:
Sr 0.0616 0.7399 0.2240  5 O 2.48-2.66
Sr 0.0635 0.9365 0.5000  7 O 2.52-2.81
Sr 0.2328 0.4047 0.5562  6 O 2.51-2.81
Sr 0.4047 0.2328 0.0562  6 O 2.51-2.81
Sr 0.7399 0.0616 0.7240  5 O 2.48-2.66
Sr 0.9365 0.0635 0.0000  7 O 2.52-2.81
La 0.2670 0.5383 0.8437  6 O 2.33-2.57
La 0.3259 0.9582 0.7756  4 O 2.32-2.56
La 0.4935 0.7519 0.1390  6 O 2.37-2.52
La 0.5383 0.2670 0.3437  6 O 2.33-2.57
La 0.5697 0.8185 0.4333  6 O 2.33-2.56
La 0.7519 0.4935 0.6390  6 O 2.37-2.52
La 0.8185 0.5697 0.9333  6 O 2.33-2.56
La 0.9582 0.3259 0.2756  4 O 2.32-2.56
O 0.0333 0.1981 0.8780  2 La 2.33-2.49, 2 Sr 2.56-2.58
O 0.0707 0.8034 0.6517  1 La 2.32, 3 Sr 2.48-2.52
O 0.1368 0.2776 0.6813  3 La 2.38-2.56, 1 Sr 2.56
O 0.1761 0.6354 0.0283  3 La 2.48-2.57, 1 Sr 2.62
O 0.1981 0.0333 0.3780  2 La 2.33-2.49, 2 Sr 2.56-2.58
O 0.2095 0.5233 0.3919  2 La 2.33-2.46, 1 Sr 2.57
O 0.2776 0.1368 0.1813  3 La 2.38-2.56, 1 Sr 2.56
O 0.4433 0.8127 0.9572  4 La 2.46-2.71, 1 Sr 2.68
O 0.4942 0.8393 0.6031  2 La 2.37-2.48, 1 Sr 2.56
O 0.4948 0.5431 0.2507  3 La 2.45-2.56, 1 Sr 2.64
O 0.5233 0.2095 0.8919  2 La 2.33-2.46, 1 Sr 2.57
O 0.5431 0.4948 0.7507  3 La 2.45-2.56, 1 Sr 2.64
O 0.6354 0.1761 0.5283  3 La 2.48-2.57, 1 Sr 2.62
O 0.7357 0.8666 0.3186  3 La 2.43-2.49, 1 Sr 2.66
O 0.8034 0.0707 0.1517  1 La 2.32, 3 Sr 2.48-2.52
O 0.8127 0.4433 0.4572  4 La 2.46-2.71, 1 Sr 2.68
O 0.8393 0.4942 0.1031  2 La 2.37-2.48, 1 Sr 2.56
O 0.8666 0.7357 0.8186  3 La 2.43-2.49, 1 Sr 2.66

Computed properties:
ΔE_f (raw)   -3129 meV/atom
Energy relative to the lowest polymorph listed for this composition   0.000 eV/f.u.